# Ca2PrHg, optimized geometry, DFT GGA-PBE
data_Ca2PrHg
_chemical_formula_sum 'Ca6 Pr3 Hg3'
_cell_length_a 3.6882
_cell_length_b 3.6882
_cell_length_c 35.7311
_cell_angle_alpha 90.00
_cell_angle_beta 90.00
_cell_angle_gamma 120.00
_symmetry_space_group_name_H-M 'R -3 m'
_symmetry_Int_Tables_number 166
_symmetry_space_group_name_Hall '-R 3 2"'
loop_
_atom_site_label
_atom_site_fract_x
_atom_site_fract_y
_atom_site_fract_z
Ca1 0.0000 0.0000 0.1003
Pr1 0.0000 0.0000 0.0000
Hg1 0.0000 0.0000 0.5000
# - Energy relative to the lowest polymorph listed for this composition: 0.194 eV/atom
# - Mass density: 4.990 g cm⁻³
# - E_form: -0.025 eV/atom